(1)
Material: La2As4PdPt3
Method: DFT, PBE
State: optimized geometry

Calculated values
- density (Mg/m³) = 10.5
- magnetization (μB/f.u.) = 0.00
- energy (eV/atom) = -6.152
- N(E_F) (states/eV per cell) = 2.941
- crystal system = tetragonal
- ΔH_f (0 K) (meV per atom) = -975

a b c (Å): 4.501 4.501 9.924
angles (deg): 90.00 90.00 90.00
Sites, in units of the cell vectors:
La1 0.500 0.000 0.252
La2 0.000 0.500 0.748
As1 0.500 0.500 0.000
As2 0.000 0.000 0.000
As3 0.500 0.000 0.630
As4 0.000 0.500 0.370
Pd1 0.500 0.500 0.500
Pt1 0.000 0.000 0.500
Pt2 0.500 0.000 0.882
Pt3 0.000 0.500 0.118

(2)
Material: LaPuAs2Pd2
Method: DFT, PBE
State: optimized geometry

Calculated values
- density (Mg/m³) = 9.5
- magnetization (μB/f.u.) = 5.08
- energy (eV/atom) = -7.532
- N(E_F) (states/eV per cell) = 11.235
- crystal system = trigonal
- ΔH_f (0 K) (meV per atom) = -1041

a b c (Å): 4.389 4.389 7.801
angles (deg): 90.00 90.00 120.00
Each line ends with the local moment (μB).
Sites, in units of the cell vectors:
La1 0.000 0.000 0.000  0.00
Pu1 0.000 0.000 0.500  -5.17
As1 0.667 0.333 0.736  0.06
As2 0.333 0.667 0.264  0.06
Pd1 0.667 0.333 0.256  0.06
Pd2 0.333 0.667 0.744  0.06

(3)
Material: LaPu2As2Pd2
Method: DFT, PBE
State: optimized geometry

Calculated values
- density (Mg/m³) = 10.8
- magnetization (μB/f.u.) = 11.07
- energy (eV/atom) = -8.438
- N(E_F) (states/eV per cell) = 11.196
- crystal system = trigonal
- ΔH_f (0 K) (meV per atom) = -828

a b c (Å): 4.527 4.527 8.949
angles (deg): 75.35 75.35 60.00
Each line ends with the local moment (μB).
Sites, in units of the cell vectors:
La1 0.000 0.000 0.000  0.09
Pu1 0.142 0.142 0.574  5.38
Pu2 0.858 0.858 0.426  5.38
As1 0.738 0.738 0.786  -0.03
As2 0.262 0.262 0.214  -0.03
Pd1 0.574 0.574 0.279  -0.02
Pd2 0.426 0.426 0.721  -0.02

(4)
Material: La2As4PdRh3
Method: DFT, PBE
State: optimized geometry

Calculated values
- density (Mg/m³) = 8.6
- magnetization (μB/f.u.) = 0.00
- energy (eV/atom) = -6.544
- N(E_F) (states/eV per cell) = 6.619
- crystal system = tetragonal
- ΔH_f (0 K) (meV per atom) = -974

a b c (Å): 4.396 4.396 9.921
angles (deg): 90.00 90.00 90.00
Sites, in units of the cell vectors:
La1 0.500 0.000 0.247
La2 0.000 0.500 0.753
As1 0.500 0.500 0.000
As2 0.000 0.000 0.000
As3 0.500 0.000 0.636
As4 0.000 0.500 0.364
Pd1 0.500 0.500 0.500
Rh1 0.000 0.000 0.500
Rh2 0.500 0.000 0.884
Rh3 0.000 0.500 0.116

(5)
Material: La2As3PdRh4
Method: DFT, PBE
State: optimized geometry

Calculated values
- density (Mg/m³) = 9.0
- magnetization (μB/f.u.) = 0.00
- energy (eV/atom) = -6.712
- N(E_F) (states/eV per cell) = 5.656
- crystal system = tetragonal
- ΔH_f (0 K) (meV per atom) = -871

a b c (Å): 4.097 4.097 11.255
angles (deg): 90.00 90.00 90.00
Sites, in units of the cell vectors:
La1 0.500 0.000 0.265
La2 0.000 0.500 0.735
As1 0.000 0.000 0.500
As2 0.500 0.000 0.875
As3 0.000 0.500 0.125
Pd1 0.500 0.500 0.500
Rh1 0.500 0.500 0.000
Rh2 0.000 0.000 0.000
Rh3 0.500 0.000 0.662
Rh4 0.000 0.500 0.338

(6)
Material: LaAs2PdRh2
Method: DFT, PBE
State: optimized geometry

Calculated values
- density (Mg/m³) = 8.0
- magnetization (μB/f.u.) = 0.00
- energy (eV/atom) = -5.898
- N(E_F) (states/eV per cell) = 4.205
- crystal system = tetragonal
- ΔH_f (0 K) (meV per atom) = -211

a b c (Å): 4.739 4.739 5.542
angles (deg): 90.00 90.00 90.00
Sites, in units of the cell vectors:
La1 0.000 0.000 0.500
As1 0.500 0.000 0.000
As2 0.000 0.500 0.000
Pd1 0.000 0.000 0.000
Rh1 0.500 0.500 0.744
Rh2 0.500 0.500 0.256

(7)
Material: La2As3Pd4Rh
Method: DFT, PBE
State: optimized geometry

Calculated values
- density (Mg/m³) = 8.7
- magnetization (μB/f.u.) = 0.00
- energy (eV/atom) = -5.984
- N(E_F) (states/eV per cell) = 7.314
- crystal system = tetragonal
- ΔH_f (0 K) (meV per atom) = -792

a b c (Å): 4.247 4.247 10.877
angles (deg): 90.00 90.00 90.00
Sites, in units of the cell vectors:
La1 0.500 0.000 0.259
La2 0.000 0.500 0.741
As1 0.000 0.000 0.500
As2 0.500 0.000 0.871
As3 0.000 0.500 0.129
Pd1 0.500 0.500 0.000
Pd2 0.000 0.000 0.000
Pd3 0.500 0.000 0.649
Pd4 0.000 0.500 0.351
Rh1 0.500 0.500 0.500

(8)
Material: La2As4Pd3Ru
Method: DFT, PBE
State: optimized geometry

Calculated values
- density (Mg/m³) = 8.4
- magnetization (μB/f.u.) = 0.00
- energy (eV/atom) = -6.186
- N(E_F) (states/eV per cell) = 5.616
- crystal system = tetragonal
- ΔH_f (0 K) (meV per atom) = -855

a b c (Å): 4.411 4.411 10.093
angles (deg): 90.00 90.00 90.00
Sites, in units of the cell vectors:
La1 0.500 0.000 0.248
La2 0.000 0.500 0.752
As1 0.500 0.500 0.000
As2 0.000 0.000 0.000
As3 0.500 0.000 0.629
As4 0.000 0.500 0.371
Pd1 0.000 0.000 0.500
Pd2 0.500 0.000 0.876
Pd3 0.000 0.500 0.124
Ru1 0.500 0.500 0.500

(9)
Material: La2SbAsPd6
Method: DFT, PBE
State: optimized geometry

Calculated values
- density (Mg/m³) = 8.5
- magnetization (μB/f.u.) = 0.00
- energy (eV/atom) = -5.748
- N(E_F) (states/eV per cell) = 8.965
- crystal system = orthorhombic
- ΔE_f (raw) (meV/atom) = -769

a b c (Å): 5.565 8.678 8.955
angles (deg): 90.00 90.00 90.00
Sites, in units of the cell vectors:
La1 0.500 0.740 0.245
La2 0.000 0.260 0.745
La3 0.500 0.740 0.755
La4 0.000 0.260 0.255
Sb1 0.000 0.729 0.500
Sb2 0.500 0.271 0.000
As1 0.500 0.245 0.500
As2 0.000 0.755 0.000
Pd1 0.500 0.106 0.252
Pd2 0.500 0.106 0.748
Pd3 0.000 0.894 0.248
Pd4 0.000 0.894 0.752
Pd5 0.249 0.999 0.500
Pd6 0.751 0.999 0.500
Pd7 0.253 0.478 0.500
Pd8 0.747 0.478 0.500
Pd9 0.753 0.522 0.000
Pd10 0.247 0.522 0.000
Pd11 0.251 0.001 0.000
Pd12 0.749 0.001 0.000

(10)
Material: LaAs2PdSe
Method: DFT, PBE
State: optimized geometry

Calculated values
- relative energy among the computed polymorphs (eV per atom) = 0.000
- density (Mg/m³) = 6.5
- magnetization (μB/f.u.) = 0.00
- energy (eV/atom) = -5.077
- N(E_F) (states/eV per cell) = 3.975
- crystal system = tetragonal
- ΔE_f (raw) (meV/atom) = -496

a b c (Å): 4.853 4.853 5.126
angles (deg): 90.00 90.00 90.00
Sites, in units of the cell vectors:
As1 0.000 0.500 0.000
As2 0.500 0.000 0.000
Se1 0.000 0.000 0.500
Pd1 0.000 0.000 0.000
La1 0.500 0.500 0.500

(11)
Material: LaAs2PdSe
Method: DFT, PBE
State: optimized geometry

Calculated values
- relative energy among the computed polymorphs (eV per atom) = 1.190
- density (Mg/m³) = 4.3
- magnetization (μB/f.u.) = 0.00
- energy (eV/atom) = -3.887
- N(E_F) (states/eV per cell) = 7.957
- crystal system = tetragonal
- ΔE_f (raw) (meV/atom) = 693

a b c (Å): 5.716 5.716 5.627
angles (deg): 90.00 90.00 90.00
Sites, in units of the cell vectors:
As1 0.000 0.500 0.000
As2 0.500 0.000 0.000
Se1 0.000 0.000 0.500
Pd1 0.500 0.500 0.500
La1 0.000 0.000 0.000

(12)
Material: La2SiAsPd6
Method: DFT, PBE
State: optimized geometry

Calculated values
- density (Mg/m³) = 8.4
- magnetization (μB/f.u.) = 0.00
- energy (eV/atom) = -5.890
- N(E_F) (states/eV per cell) = 5.106
- crystal system = triclinic
- ΔE_f (raw) (meV/atom) = -781

a b c (Å): 6.538 6.780 5.514
angles (deg): 65.92 65.20 83.65
Sites, in units of the cell vectors:
La1 0.729 0.216 0.526
La2 0.271 0.784 0.474
Si1 0.500 0.500 0.000
As1 0.000 0.000 0.000
Pd1 0.269 0.251 0.490
Pd2 0.731 0.749 0.010
Pd3 0.110 0.605 0.144
Pd4 0.890 0.395 0.856
Pd5 0.269 0.251 0.990
Pd6 0.731 0.749 0.510

(13)
Material: La2SiAsPd
Method: DFT, PBE
State: optimized geometry

Calculated values
- density (Mg/m³) = 5.6
- magnetization (μB/f.u.) = 0.00
- energy (eV/atom) = -5.565
- N(E_F) (states/eV per cell) = 3.055
- crystal system = tetragonal
- ΔE_f (raw) (meV/atom) = -541

a b c (Å): 5.671 4.457 5.671
angles (deg): 90.00 90.00 90.00
Sites, in units of the cell vectors:
As1 0.500 0.500 0.500
Si1 0.000 0.500 0.000
Pd1 0.000 0.000 0.000
La1 0.000 0.000 0.500
La2 0.500 0.000 0.000

(14)
Material: La2SmAs4Pd3
Method: DFT, PBE
State: optimized geometry

Calculated values
- density (Mg/m³) = 7.8
- magnetization (μB/f.u.) = 0.00
- energy (eV/atom) = -5.875
- N(E_F) (states/eV per cell) = 3.218
- crystal system = tetragonal
- ΔH_f (0 K) (meV per atom) = -1000

a b c (Å): 4.515 4.515 10.931
angles (deg): 90.00 90.00 90.00
Sites, in units of the cell vectors:
La1 0.500 0.000 0.212
La2 0.000 0.500 0.788
Sm1 0.500 0.500 0.500
As1 0.500 0.500 0.000
As2 0.000 0.000 0.000
As3 0.500 0.000 0.659
As4 0.000 0.500 0.341
Pd1 0.000 0.000 0.500
Pd2 0.500 0.000 0.890
Pd3 0.000 0.500 0.110

(15)
Material: LaSmAs2Pd2
Method: DFT, PBE
State: optimized geometry

Calculated values
- density (Mg/m³) = 8.2
- magnetization (μB/f.u.) = 0.00
- energy (eV/atom) = -6.110
- N(E_F) (states/eV per cell) = 1.165
- crystal system = trigonal
- ΔH_f (0 K) (meV per atom) = -1222

a b c (Å): 4.397 4.397 7.845
angles (deg): 90.00 90.00 120.00
Sites, in units of the cell vectors:
La1 0.000 0.000 0.000
Sm1 0.000 0.000 0.500
As1 0.667 0.333 0.746
As2 0.333 0.667 0.254
Pd1 0.667 0.333 0.263
Pd2 0.333 0.667 0.737

(16)
Material: La2SnAs3Pd4
Method: DFT, PBE
State: optimized geometry

Calculated values
- density (Mg/m³) = 8.4
- magnetization (μB/f.u.) = 0.00
- energy (eV/atom) = -5.765
- N(E_F) (states/eV per cell) = 5.588
- crystal system = tetragonal
- ΔH_f (0 K) (meV per atom) = -907

a b c (Å): 4.364 4.364 10.878
angles (deg): 90.00 90.00 90.00
Sites, in units of the cell vectors:
La1 0.500 0.000 0.231
La2 0.000 0.500 0.769
Sn1 0.500 0.500 0.500
As1 0.000 0.000 0.500
As2 0.500 0.000 0.871
As3 0.000 0.500 0.129
Pd1 0.500 0.500 0.000
Pd2 0.000 0.000 0.000
Pd3 0.500 0.000 0.643
Pd4 0.000 0.500 0.357

(17)
Material: LaSn2AsPd
Method: DFT, PBE
State: optimized geometry

Calculated values
- density (Mg/m³) = 4.7
- magnetization (μB/f.u.) = 0.00
- energy (eV/atom) = -3.625
- N(E_F) (states/eV per cell) = 4.030
- crystal system = tetragonal
- ΔH_f (0 K) (meV per atom) = 930

a b c (Å): 6.008 5.478 6.008
angles (deg): 90.00 90.00 90.00
Sites, in units of the cell vectors:
As1 0.000 0.500 0.000
Sn1 0.000 0.000 0.500
Sn2 0.500 0.000 0.000
Pd1 0.500 0.500 0.500
La1 0.000 0.000 0.000

(18)
Material: SrLaAsPd
Method: DFT, PBE
State: optimized geometry

Calculated values
- density (Mg/m³) = 6.5
- magnetization (μB/f.u.) = 0.00
- energy (eV/atom) = -5.027
- N(E_F) (states/eV per cell) = 0.225
- crystal system = cubic
- ΔH_f (0 K) (meV per atom) = -914

a b c (Å): 5.281 5.281 5.281
angles (deg): 60.00 60.00 60.00
Sites, in units of the cell vectors:
Sr1 0.750 0.750 0.750
As1 0.000 0.000 0.000
Pd1 0.500 0.500 0.500
La1 0.250 0.250 0.250

(19)
Material: SrLaAs2Pd2
Method: DFT, PBE
State: optimized geometry

Calculated values
- density (Mg/m³) = 7.0
- magnetization (μB/f.u.) = 0.00
- energy (eV/atom) = -5.516
- N(E_F) (states/eV per cell) = 2.481
- crystal system = trigonal
- ΔH_f (0 K) (meV per atom) = -1134

a b c (Å): 4.372 4.372 8.491
angles (deg): 90.00 90.00 120.00
Sites, in units of the cell vectors:
Sr1 0.000 0.000 0.000
La1 0.000 0.000 0.500
As1 0.333 0.667 0.264
As2 0.667 0.333 0.736
Pd1 0.333 0.667 0.744
Pd2 0.667 0.333 0.256

(20)
Material: SrLaAs2Pd5
Method: DFT, PBE
State: optimized geometry

Calculated values
- density (Mg/m³) = 8.5
- magnetization (μB/f.u.) = 0.00
- energy (eV/atom) = -5.381
- N(E_F) (states/eV per cell) = 4.389
- crystal system = tetragonal
- ΔH_f (0 K) (meV per atom) = -729

a b c (Å): 4.421 4.421 9.050
angles (deg): 90.00 90.00 90.00
Sites, in units of the cell vectors:
Sr1 0.000 0.000 0.500
La1 0.000 0.000 0.000
As1 0.500 0.500 0.142
As2 0.500 0.500 0.858
Pd1 0.000 0.500 0.268
Pd2 0.500 0.000 0.268
Pd3 0.000 0.500 0.732
Pd4 0.500 0.000 0.732
Pd5 0.500 0.500 0.500

(21)
Material: LaTbAs2Pd2
Method: DFT, PBE
State: optimized geometry

Calculated values
- density (Mg/m³) = 8.5
- magnetization (μB/f.u.) = 0.00
- energy (eV/atom) = -6.092
- N(E_F) (states/eV per cell) = 1.124
- crystal system = trigonal
- ΔH_f (0 K) (meV per atom) = -1219

a b c (Å): 4.387 4.387 7.733
angles (deg): 90.00 90.00 120.00
Sites, in units of the cell vectors:
La1 0.000 0.000 0.000
Tb1 0.000 0.000 0.500
As1 0.667 0.333 0.745
As2 0.333 0.667 0.255
Pd1 0.667 0.333 0.272
Pd2 0.333 0.667 0.728

(22)
Material: La2TeAs3Pd4
Method: DFT, PBE
State: optimized geometry

Calculated values
- density (Mg/m³) = 8.3
- magnetization (μB/f.u.) = 0.00
- energy (eV/atom) = -5.653
- N(E_F) (states/eV per cell) = 4.635
- crystal system = tetragonal
- ΔE_f (raw) (meV/atom) = -882

a b c (Å): 4.483 4.483 10.472
angles (deg): 90.00 90.00 90.00
Sites, in units of the cell vectors:
La1 0.500 0.000 0.232
La2 0.000 0.500 0.768
Te1 0.500 0.500 0.500
As1 0.000 0.000 0.500
As2 0.500 0.000 0.874
As3 0.000 0.500 0.126
Pd1 0.500 0.500 0.000
Pd2 0.000 0.000 0.000
Pd3 0.500 0.000 0.638
Pd4 0.000 0.500 0.362

(23)
Material: LaTe2As2Pd7
Method: DFT, PBE
State: optimized geometry

Calculated values
- density (Mg/m³) = 8.5
- magnetization (μB/f.u.) = 0.00
- energy (eV/atom) = -5.151
- N(E_F) (states/eV per cell) = 5.495
- crystal system = monoclinic
- ΔE_f (raw) (meV/atom) = -413

a b c (Å): 4.667 4.667 11.793
angles (deg): 86.83 86.83 100.44
Sites, in units of the cell vectors:
La1 0.000 0.000 0.000
Te1 0.838 0.838 0.387
Te2 0.162 0.162 0.613
As1 0.691 0.691 0.810
As2 0.309 0.309 0.190
Pd1 0.500 0.500 0.000
Pd2 0.357 0.357 0.403
Pd3 0.643 0.643 0.597
Pd4 0.837 0.444 0.230
Pd5 0.444 0.837 0.230
Pd6 0.556 0.163 0.770
Pd7 0.163 0.556 0.770

(24)
Material: La8Te4As3Pd
Method: DFT, PBE
State: optimized geometry

Calculated values
- density (Mg/m³) = 6.4
- magnetization (μB/f.u.) = 0.00
- energy (eV/atom) = -5.949
- N(E_F) (states/eV per cell) = 10.772
- crystal system = trigonal
- ΔE_f (raw) (meV/atom) = -1503

a b c (Å): 8.893 9.009 8.894
angles (deg): 119.58 120.00 90.00
Sites, in units of the cell vectors:
La1 0.243 0.726 0.983
La2 0.243 0.726 0.485
La3 0.259 0.276 0.517
La4 0.741 0.726 0.983
La5 0.259 0.274 0.017
La6 0.741 0.724 0.483
La7 0.757 0.274 0.515
La8 0.757 0.274 0.017
Te1 0.500 0.000 0.000
Te2 0.500 0.000 0.500
Te3 0.000 0.000 0.000
Te4 0.000 0.000 0.500
As1 0.500 0.500 0.000
As2 0.500 0.500 0.500
As3 0.000 0.500 0.500
Pd1 0.000 0.500 0.000